# 1
An optimized crystal structure of KTeW2, computed with PBE.

Formation energy without anion corrections: 60.19 kJ/mol of atoms
Uncorrected energy: -27.65 eV/cell
SG: P4mm
ρ: 9.1 Mg/m³

Lattice parameters (Å, degrees): 3.3013 3.3013 8.9909 90.00 90.00 90.00
Positions (direct):
K 0.0000 0.0000 0.0000
Te 0.5000 0.5000 0.3275
W 0.0000 0.0000 0.5427
W 0.5000 0.5000 0.6815

# 2
An optimized crystal structure of KTeW2, computed with PBE.

Formation energy without anion corrections: 148.53 kJ/mol of atoms
Uncorrected energy: -23.99 eV/cell
SG: I4/mmm
ρ: 10.4 Mg/m³

Lattice parameters (Å, degrees): 5.9497 5.9497 5.9497 140.19 140.19 57.57
Positions (direct):
K 0.0000 0.0000 0.0000
Te 0.5000 0.5000 0.0000
W 0.2500 0.7500 0.5000
W 0.7500 0.2500 0.5000

# 3
An optimized crystal structure of KTeW3, computed with PBE.

Formation energy without anion corrections: 246.65 kJ/mol of atoms
Uncorrected energy: -30.32 eV/cell
Energy above the most stable polymorph in this dataset: 0 meV/atom
SG: Pm-3m
ρ: 9.3 Mg/m³

Lattice parameters (Å, degrees): 5.0360 5.0360 5.0360 90.00 90.00 90.00
Positions (direct):
K 0.0000 0.0000 0.0000
Te 0.5000 0.5000 0.5000
W 0.0000 0.5000 0.5000
W 0.5000 0.0000 0.5000
W 0.5000 0.5000 0.0000

# 4
An optimized crystal structure of K2TeW, computed with PBE.

Formation energy without anion corrections: 91.20 kJ/mol of atoms
Uncorrected energy: -14.51 eV/cell
SG: R-3m
ρ: 6.1 Mg/m³

Lattice parameters (Å, degrees): 12.1341 12.1341 12.1341 15.09 15.09 15.09
Positions (direct):
K 0.2505 0.2505 0.2505
K 0.7495 0.7495 0.7495
Te 0.5000 0.5000 0.5000
W 0.0000 0.0000 0.0000

# 5
An optimized crystal structure of KTeW2, computed with PBE.

Formation energy without anion corrections: 144.31 kJ/mol of atoms
Uncorrected energy: -24.16 eV/cell
SG: Pmmm
ρ: 10.4 Mg/m³

Lattice parameters (Å, degrees): 3.4314 4.6541 5.3462 90.00 90.00 90.00
Positions (direct):
K 0.0000 0.0000 0.0000
Te 0.5000 0.5000 0.0000
W 0.0000 0.5000 0.5000
W 0.5000 0.0000 0.5000

# 6
An optimized crystal structure of KTeW2, computed with PBE.

Formation energy without anion corrections: 72.42 kJ/mol of atoms
Uncorrected energy: -27.14 eV/cell
SG: Cmm2
ρ: 9.7 Mg/m³

Lattice parameters (Å, degrees): 3.1101 3.1101 10.2947 90.00 90.00 113.46
Positions (direct):
K 0.0000 0.0000 0.0000
Te 0.5000 0.5000 0.2906
W 0.0000 0.0000 0.5254
W 0.5000 0.5000 0.7045

# 7
An optimized crystal structure of KTeW2, computed with PBE.

Formation energy without anion corrections: 131.73 kJ/mol of atoms
Uncorrected energy: -49.37 eV/cell
SG: I-42d
ρ: 8.2 Mg/m³

Lattice parameters (Å, degrees): 10.6245 10.6245 10.6245 154.77 154.77 35.98
Positions (direct):
K 0.0000 0.0000 0.0000
K 0.7500 0.2500 0.5000
Te 0.2500 0.7500 0.5000
Te 0.5000 0.5000 0.0000
W 0.2828 0.1250 0.6578
W 0.3750 0.7172 0.8422
W 0.4672 0.6250 0.3422
W 0.8750 0.5328 0.1578

# 8
An optimized crystal structure of KTe3W, computed with PBE.

Formation energy without anion corrections: 7.28 kJ/mol of atoms
Uncorrected energy: -23.10 eV/cell
Energy above the most stable polymorph in this dataset: 0 meV/atom
SG: Pm-3m
ρ: 6.2 Mg/m³

Lattice parameters (Å, degrees): 5.4501 5.4501 5.4501 90.00 90.00 90.00
Positions (direct):
K 0.0000 0.0000 0.0000
Te 0.0000 0.5000 0.5000
Te 0.5000 0.0000 0.5000
Te 0.5000 0.5000 0.0000
W 0.5000 0.5000 0.5000